1) AgPbS2N | the Alexandria database | GGA-PBE | optimized geometry; density = 5.20 g cm⁻³; D(E_F) = 3.22 states/eV per cell
1.0
5.3042 0.0000 0.0000
0.0000 5.3042 0.0000
0.0000 0.0000 4.4625
Ag N S Pb
1 1 2 1
direct
0.5000 0.5000 0.5000
0.0000 0.0000 0.5000
0.5000 0.0000 0.0000
0.0000 0.5000 0.0000
0.0000 0.0000 0.0000


2) AgPbS2N | the Alexandria database | GGA-PBE | optimized geometry; density = 5.92 g cm⁻³; D(E_F) = 4.31 states/eV per cell
1.0
5.1922 0.0000 0.0000
0.0000 5.1922 0.0000
0.0000 0.0000 4.0945
S N Pb Ag
2 1 1 1
direct
0.0000 0.5000 0.0000
0.5000 0.0000 0.0000
0.0000 0.0000 0.5000
0.5000 0.5000 0.5000
0.0000 0.0000 0.0000


It comes down to 2), which is 343 meV/atom more stable than the next structure.